# 1
# CsZn2PbF8

A geometry-optimized CsZn2PbF8 structure (PBE-GGA, the Alexandria database).

Cell: 5.4687 5.4687 9.7024 Å, 73.63 73.63 60.00°
Last column: nearest neighbours and their distance in Å.
Positions (direct):
Cs1 0.0000 0.0000 0.0000  6 F 3.20
Zn1 0.7530 0.7530 0.7411  4 F 1.86-1.95
Zn2 0.2470 0.2470 0.2589  4 F 1.86-1.95
Pb1 0.5000 0.5000 0.5000  6 F 2.29
F1 0.6855 0.6855 0.9436  1 Zn 1.86
F2 0.3145 0.3145 0.0564  1 Zn 1.86
F3 0.5384 0.2365 0.3422  1 Zn 1.95
F4 0.7635 0.4616 0.6578  1 Zn 1.95
F5 0.1171 0.7635 0.6578  1 Zn 1.95
F6 0.2365 0.8829 0.3422  1 Zn 1.95
F7 0.8829 0.5384 0.3422  1 Zn 1.95
F8 0.4616 0.1171 0.6578  1 Zn 1.95

Computed properties:
* space-group type: R32 (155)
* raw formation energy: -2.24 eV/atom
* calculated total energy: -0.14996 hartree per atom
* crystal system: trigonal


# 2
# La6PrY5

A geometry-optimized La6PrY5 structure (PBE-GGA, the Alexandria database).

Cell: 6.2886 7.4221 11.4350 Å, 108.91 121.75 89.98°
Last column: nearest neighbours and their distance in Å.
Positions (direct):
Pr1 0.0000 0.0000 0.0000  8 La 3.65-3.66, 4 Y 3.71-3.72
Y1 0.6668 0.1672 0.3346  8 La 3.63-3.66, 3 Y 3.71, 1 Pr 3.72
Y2 0.3349 0.3336 0.6668  8 La 3.64-3.66, 4 Y 3.70-3.71
Y3 0.0000 0.5000 0.0000  8 La 3.65-3.66, 2 Y 3.70, 2 Pr 3.71
Y4 0.6651 0.6664 0.3332  8 La 3.64-3.66, 4 Y 3.70-3.71
Y5 0.3332 0.8328 0.6654  8 La 3.63-3.66, 3 Y 3.71, 1 Pr 3.72
La1 0.8348 0.5837 0.6659  7 Y 3.64-3.66, 1 Pr 3.66, 4 La 3.70-3.72
La2 0.8347 0.0826 0.6659  7 Y 3.63-3.66, 1 Pr 3.66, 4 La 3.70-3.72
La3 0.5001 0.7506 0.0002  2 Pr 3.65, 6 Y 3.65-3.66, 4 La 3.70-3.72
La4 0.4999 0.2494 0.9998  2 Pr 3.65, 6 Y 3.65-3.66, 4 La 3.70-3.72
La5 0.1653 0.9174 0.3341  7 Y 3.63-3.66, 1 Pr 3.66, 4 La 3.70-3.72
La6 0.1652 0.4163 0.3341  7 Y 3.64-3.66, 1 Pr 3.66, 4 La 3.70-3.72

Computed properties:
* space-group type: P-1 (2)
* calculated total energy: -0.20353 hartree per atom
* crystal system: triclinic


# 3
# KMgPN3

A geometry-optimized KMgPN3 structure (PBE-GGA, the Alexandria database).

Cell: 5.1287 5.5288 5.7790 Å, 118.58 90.00 90.00°
Last column: nearest neighbours and their distance in Å.
Positions (direct):
K1 0.7500 0.2579 0.5159  4 N 2.60-2.78
K2 0.2500 0.7421 0.4841  4 N 2.60-2.78
Mg1 0.2500 0.4180 0.8359  5 N 2.07-2.21
Mg2 0.7500 0.5820 0.1641  5 N 2.07-2.21
P1 0.2500 0.0540 0.1081  1 N 1.62
P2 0.7500 0.9460 0.8919  1 N 1.62
N1 0.2500 0.2135 0.4271  1 P 1.62
N2 0.0000 0.2124 0.0000  2 P 1.82
N3 0.5000 0.7876 0.0000  2 P 1.82
N4 0.5000 0.2124 0.0000  2 P 1.82
N5 0.0000 0.7876 0.0000  2 P 1.82
N6 0.7500 0.7865 0.5729  1 P 1.62

Computed properties:
* space-group type: Cmcm (63)
* raw formation energy: -0.24 eV/atom
* calculated total energy: -0.21142 hartree per atom
* crystal system: orthorhombic


# 4
# Cs2InPbBr5

A geometry-optimized Cs2InPbBr5 structure (PBE-GGA, the Alexandria database).

Cell: 4.7472 10.5516 16.2508 Å, 90.00 90.00 103.00°
Last column: nearest neighbours and their distance in Å.
Positions (direct):
Cs1 0.8623 0.7245 0.7977  8 Br 3.67-3.92
Cs2 0.0871 0.1741 0.6557  6 Br 3.55-3.75
Cs3 0.1377 0.2755 0.2977  8 Br 3.67-3.92
Cs4 0.9129 0.8259 0.1557  6 Br 3.55-3.75
In1 0.5383 0.0767 0.9537  4 Br 3.08-3.34
In2 0.4617 0.9233 0.4537  4 Br 3.08-3.34
Pb1 0.7763 0.5527 0.5262  6 Br 3.02-3.15
Pb2 0.2237 0.4473 0.0262  6 Br 3.02-3.15
Br1 0.3684 0.7368 0.9865  1 Pb 3.05
Br2 0.6965 0.3930 0.9059  2 Pb 3.13, 1 In 3.34
Br3 0.4970 0.9939 0.7717  1 In 3.08
Br4 0.2626 0.5252 0.6525  2 Pb 3.15
Br5 0.9182 0.8363 0.5741  1 Pb 3.02, 2 In 3.20
Br6 0.6316 0.2632 0.4865  1 Pb 3.05
Br7 0.3035 0.6070 0.4059  2 Pb 3.13, 1 In 3.34
Br8 0.5030 0.0061 0.2717  1 In 3.08
Br9 0.7374 0.4748 0.1525  2 Pb 3.15
Br10 0.0818 0.1637 0.0741  1 Pb 3.02, 2 In 3.20

Computed properties:
* space-group type: Cmc2_1 (36)
* raw formation energy: -1.24 eV/atom
* calculated total energy: -0.11305 hartree per atom
* crystal system: orthorhombic


# 5
# Th2TlSn9

A geometry-optimized Th2TlSn9 structure (PBE-GGA, the Alexandria database).

Cell: 4.7439 4.7439 14.7149 Å, 90.00 90.00 90.00°
Last column: nearest neighbours and their distance in Å.
Positions (direct):
Th1 0.0000 0.0000 0.3453  12 Sn 3.29-3.50
Th2 0.0000 0.0000 0.6547  12 Sn 3.29-3.50
Tl1 0.0000 0.0000 0.0000  12 Sn 3.35-3.45
Sn1 0.5000 0.5000 0.0000  4 Tl 3.35, 8 Sn 3.45
Sn2 0.5000 0.5000 0.3349  4 Th 3.36, 8 Sn 3.39
Sn3 0.5000 0.5000 0.6651  4 Th 3.36, 8 Sn 3.39
Sn4 0.5000 0.0000 0.1705  8 Sn 3.35-3.45, 2 Tl 3.45, 2 Th 3.50
Sn5 0.5000 0.0000 0.5000  4 Th 3.29, 8 Sn 3.35-3.39
Sn6 0.5000 0.0000 0.8295  8 Sn 3.35-3.45, 2 Tl 3.45, 2 Th 3.50
Sn7 0.0000 0.5000 0.1705  8 Sn 3.35-3.45, 2 Tl 3.45, 2 Th 3.50
Sn8 0.0000 0.5000 0.5000  4 Th 3.29, 8 Sn 3.35-3.39
Sn9 0.0000 0.5000 0.8295  8 Sn 3.35-3.45, 2 Tl 3.45, 2 Th 3.50

Computed properties:
* space-group type: P4/mmm (123)
* calculated total energy: -0.17228 hartree per atom
* crystal system: tetragonal


# 6
# KLaZn2

A geometry-optimized KLaZn2 structure (PBE-GGA, the Alexandria database).

Cell: 8.4904 8.4904 7.0725 Å, 53.11 53.11 90.00°
Last column: nearest neighbours and their distance in Å.
Positions (direct):
Zn1 0.6444 0.1250 0.2500  2 La 3.04, 2 K 3.26
Zn2 0.1056 0.6250 0.2500  2 La 3.04, 2 K 3.26
Zn3 0.3750 0.3556 0.7500  2 La 3.04, 2 K 3.26
Zn4 0.8750 0.8944 0.7500  2 La 3.04, 2 K 3.26
K1 0.5000 0.5000 0.0000  4 Zn 3.26
K2 0.2500 0.7500 0.5000  4 Zn 3.26
La1 0.0000 0.0000 0.0000  4 Zn 3.04
La2 0.7500 0.2500 0.5000  4 Zn 3.04

Computed properties:
* relative energy among the computed polymorphs: 357 meV/atom
* space-group type: I-42d (122)
* calculated total energy: -0.06705 hartree per atom
* crystal system: tetragonal


# 7
# BaLiCa2Hg

A geometry-optimized BaLiCa2Hg structure (PBE-GGA, the Alexandria database).

Cell: 6.0260 6.0260 5.4174 Å, 90.00 90.00 90.00°
Last column: nearest neighbours and their distance in Å.
Positions (direct):
Ca1 0.0000 0.5000 0.0000  2 Hg 3.01
Ca2 0.5000 0.0000 0.0000  2 Hg 3.01
Li1 0.0000 0.0000 0.5000  2 Hg 2.71
Hg1 0.0000 0.0000 0.0000  2 Li 2.71, 4 Ca 3.01
Ba1 0.5000 0.5000 0.5000  8 Ca 4.05, 4 Li 4.26

Computed properties:
* space-group type: P4/mmm (123)
* calculated total energy: -0.06393 hartree per atom
* crystal system: tetragonal


# 8
# Tb2NpIr9

A geometry-optimized Tb2NpIr9 structure (PBE-GGA, the Alexandria database).

Cell: 5.3028 5.3028 9.3085 Å, 73.45 73.45 60.00°
Last column: nearest neighbours and their distance in Å.
Positions (direct):
Tb1 0.8602 0.8602 0.4194  12 Ir 3.06-3.32, 3 Tb 3.37
Tb2 0.1398 0.1398 0.5806  12 Ir 3.06-3.32, 3 Tb 3.37
Np1 0.0000 0.0000 0.0000  18 Ir 3.06-3.42
Ir1 0.6668 0.6668 0.9996  6 Ir 2.65
Ir2 0.3332 0.3332 0.0004  6 Ir 2.65
Ir3 0.5000 0.5000 0.5000  6 Ir 2.70
Ir4 0.4181 0.4181 0.2462  7 Ir 2.65-2.70
Ir5 0.9175 0.4181 0.2462  7 Ir 2.65-2.70
Ir6 0.4181 0.9175 0.2462  7 Ir 2.65-2.70
Ir7 0.5819 0.5819 0.7538  7 Ir 2.65-2.70
Ir8 0.5819 0.0825 0.7538  7 Ir 2.65-2.70
Ir9 0.0825 0.5819 0.7538  7 Ir 2.65-2.70

Computed properties:
* space-group type: R-3m (166)
* calculated total energy: -0.33008 hartree per atom
* crystal system: trigonal


# 9
# NaAc2Tb

A geometry-optimized NaAc2Tb structure (PBE-GGA, the Alexandria database).

Cell: 3.8116 3.8116 13.5528 Å, 81.92 81.92 60.00°
Last column: nearest neighbours and their distance in Å.
Positions (direct):
Na1 0.0000 0.0000 0.0000  2 Ac 3.70, 6 Na 3.81
Ac1 0.0923 0.0923 0.7231  1 Na 3.70, 3 Tb 3.71, 6 Ac 3.81
Ac2 0.9077 0.9077 0.2769  1 Na 3.70, 3 Tb 3.71, 6 Ac 3.81
Tb1 0.5000 0.5000 0.5000  6 Ac 3.71, 6 Tb 3.81

Computed properties:
* relative energy among the computed polymorphs: 67 meV/atom
* space-group type: R-3m (166)
* calculated total energy: -0.12486 hartree per atom
* crystal system: trigonal


# 10
# Li2Cu5Pd2

A geometry-optimized Li2Cu5Pd2 structure (PBE-GGA, the Alexandria database).

Cell: 4.1409 7.2516 6.3959 Å, 137.76 90.00 106.59°
Last column: nearest neighbours and their distance in Å.
Positions (direct):
Li1 0.3299 0.6598 0.6724  5 Cu 2.53-2.57, 2 Li 2.55, 1 Pd 2.61
Li2 0.6701 0.3402 0.3276  5 Cu 2.53-2.57, 2 Li 2.55, 1 Pd 2.61
Cu1 0.4547 0.9094 0.2373  3 Cu 2.46-2.52, 2 Li 2.53-2.57, 3 Pd 2.62-2.66
Cu2 0.5453 0.0906 0.7627  3 Cu 2.46-2.52, 2 Li 2.53-2.57, 3 Pd 2.62-2.66
Cu3 0.1003 0.2005 0.5308  4 Cu 2.46-2.50, 1 Li 2.56, 3 Pd 2.62-2.64
Cu4 0.8997 0.7995 0.4692  4 Cu 2.46-2.50, 1 Li 2.56, 3 Pd 2.62-2.64
Cu5 0.0000 0.0000 0.0000  2 Cu 2.48, 4 Li 2.57, 2 Pd 2.58
Pd1 0.2224 0.4448 0.1125  7 Cu 2.58-2.66, 3 Li 2.61-2.87
Pd2 0.7776 0.5552 0.8875  7 Cu 2.58-2.66, 3 Li 2.61-2.87

Computed properties:
* space-group type: C2/m (12)
* calculated total energy: -0.14666 hartree per atom
* crystal system: monoclinic


Q: Look up the calculated total energy of the fifth one.
A: -0.17228 hartree per atom


Q: Number 9 is which compound?
A: NaAc2Tb


Q: What is the calculated total energy in the seventh record?
A: -0.06393 hartree per atom


Repeat the eighth record exactly.
# Tb2NpIr9

A geometry-optimized Tb2NpIr9 structure (PBE-GGA, the Alexandria database).

Cell: 5.3028 5.3028 9.3085 Å, 73.45 73.45 60.00°
Last column: nearest neighbours and their distance in Å.
Positions (direct):
Tb1 0.8602 0.8602 0.4194  12 Ir 3.06-3.32, 3 Tb 3.37
Tb2 0.1398 0.1398 0.5806  12 Ir 3.06-3.32, 3 Tb 3.37
Np1 0.0000 0.0000 0.0000  18 Ir 3.06-3.42
Ir1 0.6668 0.6668 0.9996  6 Ir 2.65
Ir2 0.3332 0.3332 0.0004  6 Ir 2.65
Ir3 0.5000 0.5000 0.5000  6 Ir 2.70
Ir4 0.4181 0.4181 0.2462  7 Ir 2.65-2.70
Ir5 0.9175 0.4181 0.2462  7 Ir 2.65-2.70
Ir6 0.4181 0.9175 0.2462  7 Ir 2.65-2.70
Ir7 0.5819 0.5819 0.7538  7 Ir 2.65-2.70
Ir8 0.5819 0.0825 0.7538  7 Ir 2.65-2.70
Ir9 0.0825 0.5819 0.7538  7 Ir 2.65-2.70

Computed properties:
* space-group type: R-3m (166)
* calculated total energy: -0.33008 hartree per atom
* crystal system: trigonal